A relaxed structure of Th3Mn2Si4. Source: the Alexandria database, functional PBE.

Structure (POSCAR):
```
Th3Mn2Si4
1.0
-3.355 0.603 -2.386
3.561 -4.011 -2.392
-4.589 -3.970 5.448
Th Mn Si
3 2 4
Direct
0.618 0.237 0.691 Th
0.000 0.000 0.000 Th
0.382 0.763 0.309 Th
0.695 0.390 0.363 Mn
0.305 0.610 0.637 Mn
0.717 0.433 0.079 Si
0.283 0.567 0.921 Si
0.889 0.778 0.598 Si
0.111 0.222 0.402 Si
```

- Symmetry: C2/m (12)
- Energy relative to the elements, uncorrected: -5.2 eV per formula unit

***

A relaxed structure of SmMgSnRh. Source: the Alexandria database, functional PBE.

Structure (POSCAR):
```
SmMgSnRh
1.0
4.862 0.000 0.000
2.431 4.210 0.000
2.431 1.403 3.970
Mg Rh Sn Sm
1 1 1 1
Direct
0.500 0.500 0.500 Mg
0.000 0.000 0.000 Rh
0.250 0.250 0.250 Sn
0.750 0.750 0.750 Sm
```

- E_form: -0.544 eV/atom
- Symmetry: F-43m (216)

***

A relaxed structure of Ca12Pd3F5. Source: the Alexandria database, functional PBE.

Structure (POSCAR):
```
Ca12Pd3F5
1.0
13.768 0.000 0.000
-4.589 12.980 0.000
-4.589 -6.490 11.241
Pd F Ca
12 20 48
Direct
0.750 0.375 0.125 Pd
0.875 0.750 0.125 Pd
0.375 0.750 0.625 Pd
0.250 0.125 0.375 Pd
0.875 0.125 0.250 Pd
0.375 0.625 0.250 Pd
0.625 0.375 0.750 Pd
0.125 0.875 0.750 Pd
0.750 0.875 0.625 Pd
0.625 0.250 0.375 Pd
0.125 0.250 0.875 Pd
0.250 0.625 0.875 Pd
0.125 0.375 0.250 F
0.000 0.500 0.000 F
0.000 0.000 0.000 F
0.375 0.250 0.125 F
0.500 0.000 0.500 F
0.500 0.500 0.000 F
0.125 0.750 0.375 F
0.750 0.125 0.875 F
0.750 0.625 0.375 F
0.375 0.125 0.750 F
0.625 0.875 0.250 F
0.500 0.500 0.500 F
0.500 0.000 0.000 F
0.000 0.000 0.500 F
0.250 0.375 0.625 F
0.250 0.875 0.125 F
0.000 0.500 0.500 F
0.875 0.250 0.625 F
0.625 0.750 0.875 F
0.875 0.625 0.750 F
0.714 0.125 0.028 Ca
0.315 0.528 0.404 Ca
0.972 0.375 0.286 Ca
0.528 0.214 0.125 Ca
0.589 0.714 0.685 Ca
0.972 0.596 0.185 Ca
0.315 0.786 0.411 Ca
0.096 0.911 0.125 Ca
0.596 0.972 0.685 Ca
0.714 0.589 0.185 Ca
0.786 0.472 0.375 Ca
0.815 0.904 0.028 Ca
0.125 0.714 0.528 Ca
0.375 0.404 0.089 Ca
0.089 0.904 0.375 Ca
0.411 0.125 0.596 Ca
0.089 0.185 0.214 Ca
0.472 0.685 0.096 Ca
0.815 0.911 0.286 Ca
0.125 0.411 0.096 Ca
0.375 0.972 0.786 Ca
0.596 0.625 0.411 Ca
0.904 0.815 0.528 Ca
0.786 0.315 0.911 Ca
0.404 0.375 0.589 Ca
0.096 0.185 0.472 Ca
0.214 0.685 0.089 Ca
0.185 0.089 0.714 Ca
0.625 0.028 0.214 Ca
0.875 0.589 0.904 Ca
0.528 0.315 0.904 Ca
0.589 0.875 0.404 Ca
0.911 0.815 0.786 Ca
0.911 0.096 0.625 Ca
0.875 0.286 0.472 Ca
0.185 0.096 0.972 Ca
0.625 0.596 0.911 Ca
0.404 0.028 0.315 Ca
0.286 0.411 0.815 Ca
0.214 0.528 0.625 Ca
0.904 0.089 0.875 Ca
0.685 0.214 0.589 Ca
0.472 0.786 0.875 Ca
0.028 0.404 0.815 Ca
0.411 0.286 0.315 Ca
0.028 0.625 0.714 Ca
0.685 0.472 0.596 Ca
0.286 0.875 0.972 Ca
```

- Symmetry: Ia-3d (230)
- Energy relative to the elements, uncorrected: -31.6 eV per formula unit

***

A relaxed structure of SiSbCl. Source: the Alexandria database, functional PBE.

Structure (POSCAR):
```
SiSbCl
1.0
7.533 0.019 0.000
6.162 4.333 0.000
-6.847 -2.176 2.264
Cl Sb Si
1 1 1
Direct
0.041 0.041 0.000 Cl
0.302 0.302 0.000 Sb
0.657 0.657 0.000 Si
```

- Symmetry: I4mm (107)
- Energy relative to the elements, uncorrected: 0.7 eV per formula unit

***

Result set for size of the total moment: 1.88 0.00 0.00 0.00 Bohr magnetons per cell, one per record in the order listed.
Result set for calculated total energy: -7.4976 -4.9613 -4.0268 -3.5544 eV/atom, one per record in the order listed.